Record 1
BeHPdRh2 | PBE | relaxed Values from VASP.

Computed properties:
DOS at the Fermi energy (states/eV/f.u.): 3.2
ΔE to the lowest computed polymorph (kJ/mol of atoms): 0.00
Volume (A^3/atom): 11.30

```
&SYSTEM
  ibrav = 0, nat = 5, ntyp = 4
/
ATOMIC_SPECIES
Be 9.01 Be.upf
H 1.01 H.upf
Pd 106.42 Pd.upf
Rh 102.91 Rh.upf
ATOMIC_POSITIONS crystal
Be 0.000 0.000 0.000
H 0.500 0.500 0.500
Pd 0.500 0.500 0.000
Rh 0.000 0.500 0.500
Rh 0.500 0.000 0.500
CELL_PARAMETERS angstrom
3.844 0.000 0.000
0.000 3.844 0.000
0.000 0.000 3.823
```

=====

Record 2
BeHPdRu2 | PBE | relaxed Values from VASP.

Computed properties:
DOS at the Fermi energy (states/eV/f.u.): 4.5
Volume (A^3/atom): 14.54
Total DFT energy (no corrections) (eV per atom): -4.906

```
&SYSTEM
  ibrav = 0, nat = 5, ntyp = 4
/
ATOMIC_SPECIES
Be 9.01 Be.upf
H 1.01 H.upf
Pd 106.42 Pd.upf
Ru 101.07 Ru.upf
ATOMIC_POSITIONS crystal
Be 0.000 0.000 0.000
H 0.500 0.500 0.000
Pd 0.500 0.500 0.500
Ru 0.000 0.500 0.500
Ru 0.500 0.000 0.500
CELL_PARAMETERS angstrom
4.944 0.000 0.000
0.000 4.944 0.000
0.000 0.000 2.974
```

=====

Record 3
Sc2BeHPd6 | PBE | relaxed Values from VASP.

Computed properties:
DOS at the Fermi energy (states/eV/f.u.): 2.3
Volume (A^3/atom): 14.47
Total DFT energy (no corrections) (eV per atom): -5.759

```
&SYSTEM
  ibrav = 0, nat = 10, ntyp = 4
/
ATOMIC_SPECIES
Sc 44.96 Sc.upf
Be 9.01 Be.upf
H 1.01 H.upf
Pd 106.42 Pd.upf
ATOMIC_POSITIONS crystal
Sc 0.241 0.243 0.276
Sc 0.759 0.757 0.724
Be 0.500 0.500 0.500
H 0.000 0.000 0.000
Pd 0.240 0.746 0.773
Pd 0.241 0.239 0.774
Pd 0.252 0.762 0.228
Pd 0.748 0.238 0.772
Pd 0.759 0.761 0.226
Pd 0.760 0.254 0.227
CELL_PARAMETERS angstrom
5.703 0.000 0.000
2.844 4.967 0.000
2.834 1.629 5.109
```

=====

Record 4
Sm2BeHPd6 | PBE | relaxed Values from VASP.

Computed properties:
DOS at the Fermi energy (states/eV/f.u.): 2.4
Volume (A^3/atom): 16.00
Total DFT energy (no corrections) (eV per atom): -5.466

```
&SYSTEM
  ibrav = 0, nat = 10, ntyp = 4
/
ATOMIC_SPECIES
Sm 150.36 Sm.upf
Be 9.01 Be.upf
H 1.01 H.upf
Pd 106.42 Pd.upf
ATOMIC_POSITIONS crystal
Sm 0.242 0.242 0.263
Sm 0.758 0.758 0.737
Be 0.000 0.000 0.500
H 0.500 0.500 0.000
Pd 0.259 0.723 0.236
Pd 0.261 0.261 0.779
Pd 0.277 0.741 0.764
Pd 0.723 0.259 0.236
Pd 0.739 0.739 0.221
Pd 0.741 0.277 0.764
CELL_PARAMETERS angstrom
5.009 -3.122 0.000
5.009 3.122 0.000
-3.022 0.000 5.116
```

=====

Record 5
SrBeH6Pd | PBE | relaxed Values from VASP.

Computed properties:
DOS at the Fermi energy (states/eV/f.u.): 0.6
Volume (A^3/atom): 9.18
Total DFT energy (no corrections) (eV per atom): -3.629

```
&SYSTEM
  ibrav = 0, nat = 9, ntyp = 4
/
ATOMIC_SPECIES
Sr 87.62 Sr.upf
Be 9.01 Be.upf
H 1.01 H.upf
Pd 106.42 Pd.upf
ATOMIC_POSITIONS crystal
Sr 0.000 0.000 0.000
Be 0.333 0.667 0.500
H 0.024 0.512 0.266
H 0.024 0.512 0.734
H 0.488 0.512 0.266
H 0.488 0.512 0.734
H 0.488 0.976 0.266
H 0.488 0.976 0.734
Pd 0.667 0.333 0.500
CELL_PARAMETERS angstrom
4.511 0.000 0.000
-2.256 3.907 0.000
0.000 0.000 4.687
```

=====

Record 6
Ti2BeHPd | PBE | relaxed Values from VASP.

Computed properties:
DOS at the Fermi energy (states/eV/f.u.): 3.4
ΔE to the lowest computed polymorph (kJ/mol of atoms): 0.00
Volume (A^3/atom): 11.76

```
&SYSTEM
  ibrav = 0, nat = 5, ntyp = 4
/
ATOMIC_SPECIES
Ti 47.87 Ti.upf
Be 9.01 Be.upf
H 1.01 H.upf
Pd 106.42 Pd.upf
ATOMIC_POSITIONS crystal
Ti 0.000 0.500 0.000
Ti 0.500 0.000 0.000
Be 0.000 0.000 0.500
H 0.000 0.000 0.000
Pd 0.500 0.500 0.500
CELL_PARAMETERS angstrom
3.903 0.000 0.000
0.000 3.903 0.000
0.000 0.000 3.859
```

=====

Record 7
Ti2BeHPd | PBE | relaxed Values from VASP.

Computed properties:
DOS at the Fermi energy (states/eV/f.u.): 4.9
ΔE to the lowest computed polymorph (kJ/mol of atoms): 3.87
Volume (A^3/atom): 12.05

```
&SYSTEM
  ibrav = 0, nat = 5, ntyp = 4
/
ATOMIC_SPECIES
Ti 47.87 Ti.upf
Be 9.01 Be.upf
H 1.01 H.upf
Pd 106.42 Pd.upf
ATOMIC_POSITIONS crystal
Ti 0.000 0.500 0.000
Ti 0.500 0.000 0.000
Be 0.000 0.000 0.500
H 0.500 0.500 0.000
Pd 0.500 0.500 0.500
CELL_PARAMETERS angstrom
3.929 0.000 0.000
0.000 3.929 0.000
0.000 0.000 3.904
```

=====

Record 8
Tm2BeHPd6 | PBE | relaxed Values from VASP.

Computed properties:
DOS at the Fermi energy (states/eV/f.u.): 1.6
Volume (A^3/atom): 15.24
Total DFT energy (no corrections) (eV per atom): -5.485

```
&SYSTEM
  ibrav = 0, nat = 10, ntyp = 4
/
ATOMIC_SPECIES
Tm 168.93 Tm.upf
Be 9.01 Be.upf
H 1.01 H.upf
Pd 106.42 Pd.upf
ATOMIC_POSITIONS crystal
Tm 0.241 0.241 0.280
Tm 0.759 0.759 0.720
Be 0.500 0.500 0.500
H 0.000 0.000 0.000
Pd 0.239 0.744 0.776
Pd 0.240 0.239 0.777
Pd 0.254 0.762 0.224
Pd 0.746 0.238 0.776
Pd 0.760 0.761 0.223
Pd 0.761 0.256 0.224
CELL_PARAMETERS angstrom
5.788 0.000 0.000
2.878 5.039 0.000
2.845 1.667 5.226
```